# 1
First-principles (PBE-GGA) data for an optimized crystal structure of Tm3Be2Ga4, as listed in Alexandria via LeMat-Bulk.

Calculated values
E_form	-0.49	eV/atom
space-group type	C2/m, No. 12

The structure in POSCAR format:
```
Tm3Be2Ga4
1.0
5.1342 -2.0869 0.0000
5.1342 2.0869 0.0000
-2.5160 0.0000 7.7041
Tm Be Ga
3 2 4
Direct
0.0000 0.0000 0.0000
0.3413 0.3413 0.3346
0.6587 0.6587 0.6654
0.3789 0.3789 0.7111
0.6211 0.6211 0.2889
0.0668 0.0668 0.3855
0.2802 0.2802 0.9315
0.7198 0.7198 0.0685
0.9332 0.9332 0.6145
```

=====

# 2
First-principles (PBE-GGA) data for an optimized crystal structure of CoSbSe, as listed in Alexandria via LeMat-Bulk.

Calculated values
uncorrected formation energy	-0.1226	eV per atom
space-group type	P3m1, No. 156

The structure in POSCAR format:
```
CoSbSe
1.0
3.5638 0.0000 0.0000
-1.7819 3.0863 0.0000
0.0000 0.0000 5.4609
Co Sb Se
1 1 1
Direct
0.0000 0.0000 0.0000
0.6667 0.3333 0.2939
0.3333 0.6667 0.7982
```

=====

# 3
First-principles (PBE-GGA) data for an optimized crystal structure of IrSN2O, as listed in Alexandria via LeMat-Bulk.

Calculated values
uncorrected formation energy	1.2312	eV per atom
space-group type	P4/mmm, No. 123

The structure in POSCAR format:
```
IrSN2O
1.0
3.8790 0.0000 0.0000
0.0000 3.8790 0.0000
0.0000 0.0000 3.8662
Ir S N O
1 1 2 1
Direct
0.0000 0.0000 0.0000
0.5000 0.5000 0.5000
0.0000 0.5000 0.0000
0.5000 0.0000 0.0000
0.0000 0.0000 0.5000
```

=====

Number 3 is which compound? IrSN2O